Re2HgAs: relaxed, PBE.

Cell lengths 4.427, 2.950, 5.554 Å; angles 74.74, 90.00, 90.00 degrees
Element x y z (fractional)
Re  0.500  0.442  0.242
Re  0.000  0.026  0.070
As  0.000  0.335  0.455
Hg  0.500  0.697  0.733

Computed properties:
Calculated total energy = -6.85 eV/atom
Theoretical density = 15.37 g cm⁻³
Crystal system = monoclinic
Calculated formation energy = 0.61 eV per atom
Energy above the lowest structure with this stoichiometry = 1.33 eV/f.u.
N(E_F) = 2.2 states/eV per cell

LaCrPt2: relaxed, PBE.

Cell lengths 4.368, 4.368, 5.784 Å; angles 67.93, 67.93, 59.98 degrees
Each line ends with the local moment (μB).
Element x y z (fractional)
Cr  0.432  0.432  0.703  2.75
Pt  0.040  0.040  0.882  0.04
Pt  0.785  0.785  0.644  -0.01
La  0.243  0.243  0.270  0.02

Computed properties:
Calculated total energy = -7.18 eV/atom
Theoretical density = 11.21 g cm⁻³
Crystal system = monoclinic
Calculated formation energy = -0.53 eV per atom
Energy above the lowest structure with this stoichiometry = 0.54 eV/f.u.
N(E_F) = 2.8 states/eV per cell

CsFeRuCl6: relaxed, PBE.

Cell lengths 6.340, 6.340, 7.870 Å; angles 90.00, 90.00, 60.00 degrees
Each line ends with the local moment (μB).
Element x y z (fractional)
Cl  0.374  0.993  0.672  0.09
Cl  0.993  0.633  0.672  0.09
Cl  0.633  0.993  0.328  0.09
Cl  0.633  0.374  0.672  0.09
Cl  0.993  0.374  0.328  0.09
Cl  0.374  0.633  0.328  0.09
Ru  0.667  0.667  0.500  0.56
Fe  0.333  0.333  0.500  3.65
Cs  0.000  0.000  0.000  0.01

Computed properties:
Calculated total energy = -4.23 eV/atom
Theoretical density = 3.05 g cm⁻³
Crystal system = trigonal
Raw formation energy = -0.933 eV per atom
N(E_F) = 7.2 states/eV per cell